A relaxed structure of PmFeCoB2. Source: Alexandria, functional PBE.

Calculated values
Theoretical density in kg/m3: 7304

a = 3.646 Å, b = 3.646 Å, c = 9.628 Å
α = 90.00°, β = 90.00°, γ = 90.00°
Fractional coordinates of all 10 atoms:
Pm1 0.000 0.000 0.000
Pm2 0.500 0.500 0.500
Fe1 0.000 0.500 0.250
Fe2 0.500 0.000 0.750
Co1 0.000 0.500 0.750
Co2 0.500 0.000 0.250
B1 0.000 0.000 0.332
B2 0.000 0.000 0.668
B3 0.500 0.500 0.168
B4 0.500 0.500 0.832


A relaxed structure of PrFeCoB2. Source: Alexandria, functional PBE.

Calculated values
Theoretical density in kg/m3: 6976

a = 3.661 Å, b = 3.661 Å, c = 9.850 Å
α = 90.00°, β = 90.00°, γ = 90.00°
Fractional coordinates of all 10 atoms:
Pr1 0.000 0.000 0.000
Pr2 0.500 0.500 0.500
Fe1 0.000 0.500 0.750
Fe2 0.500 0.000 0.250
Co1 0.000 0.500 0.250
Co2 0.500 0.000 0.750
B1 0.000 0.000 0.328
B2 0.000 0.000 0.672
B3 0.500 0.500 0.172
B4 0.500 0.500 0.828


A relaxed structure of Pu2Fe3CoB12. Source: Alexandria, functional PBE.

Calculated values
Theoretical density in kg/m3: 7657

a = 7.943 Å, b = 7.943 Å, c = 7.943 Å
α = 39.57°, β = 39.57°, γ = 39.57°
Fractional coordinates of all 18 atoms:
Pu1 0.141 0.141 0.141
Pu2 0.859 0.859 0.859
Fe1 0.000 0.500 0.500
Fe2 0.500 0.000 0.500
Fe3 0.500 0.500 0.000
Co1 0.500 0.500 0.500
B1 0.152 0.152 0.475
B2 0.152 0.475 0.152
B3 0.178 0.553 0.553
B4 0.447 0.447 0.822
B5 0.447 0.822 0.447
B6 0.475 0.152 0.152
B7 0.525 0.848 0.848
B8 0.553 0.178 0.553
B9 0.553 0.553 0.178
B10 0.822 0.447 0.447
B11 0.848 0.525 0.848
B12 0.848 0.848 0.525


A relaxed structure of Pu2FeCo3B12. Source: Alexandria, functional PBE.

Calculated values
Theoretical density in kg/m3: 7791

a = 7.950 Å, b = 7.950 Å, c = 7.950 Å
α = 39.29°, β = 39.29°, γ = 39.29°
Fractional coordinates of all 18 atoms:
Pu1 0.141 0.141 0.141
Pu2 0.859 0.859 0.859
Fe1 0.500 0.500 0.500
Co1 0.000 0.500 0.500
Co2 0.500 0.000 0.500
Co3 0.500 0.500 0.000
B1 0.154 0.154 0.477
B2 0.154 0.477 0.154
B3 0.179 0.551 0.551
B4 0.449 0.449 0.821
B5 0.449 0.821 0.449
B6 0.477 0.154 0.154
B7 0.523 0.846 0.846
B8 0.551 0.179 0.551
B9 0.551 0.551 0.179
B10 0.821 0.449 0.449
B11 0.846 0.523 0.846
B12 0.846 0.846 0.523


A relaxed structure of Fe5CoRe2B2. Source: Alexandria, functional PBE.

Calculated values
Theoretical density in kg/m3: 11643

a = 8.683 Å, b = 8.683 Å, c = 2.770 Å
α = 90.00°, β = 90.00°, γ = 90.00°
Fractional coordinates of all 20 atoms:
Fe1 0.000 0.500 0.000
Fe2 0.062 0.216 0.000
Fe3 0.216 0.938 0.000
Fe4 0.284 0.438 0.000
Fe5 0.438 0.716 0.000
Fe6 0.500 0.000 0.000
Fe7 0.562 0.284 0.000
Fe8 0.716 0.562 0.000
Fe9 0.784 0.062 0.000
Fe10 0.938 0.784 0.000
Co1 0.000 0.000 0.500
Co2 0.500 0.500 0.500
Re1 0.180 0.680 0.500
Re2 0.320 0.180 0.500
Re3 0.680 0.820 0.500
Re4 0.820 0.320 0.500
B1 0.125 0.375 0.500
B2 0.375 0.875 0.500
B3 0.625 0.125 0.500
B4 0.875 0.625 0.500


A relaxed structure of FeCoBRu. Source: Alexandria, functional PBE.

Calculated values
Theoretical density in kg/m3: 8814

a = 5.549 Å, b = 5.549 Å, c = 5.549 Å
α = 90.00°, β = 90.00°, γ = 90.00°
Fractional coordinates of all 16 atoms:
Fe1 0.000 0.000 0.000
Fe2 0.000 0.500 0.500
Fe3 0.500 0.000 0.500
Fe4 0.500 0.500 0.000
Co1 0.250 0.250 0.750
Co2 0.250 0.750 0.250
Co3 0.750 0.250 0.250
Co4 0.750 0.750 0.750
B1 0.000 0.000 0.500
B2 0.000 0.500 0.000
B3 0.500 0.000 0.000
B4 0.500 0.500 0.500
Ru1 0.250 0.250 0.250
Ru2 0.250 0.750 0.750
Ru3 0.750 0.250 0.750
Ru4 0.750 0.750 0.250


no.,formation energy from the elements (meV/atom),VASP energy (eV per atom),DOS(E_F) (states/eV per cell)
1,-462,-7.197,3.88
2,-428,-7.168,3.84
3,26,-7.823,18.87
4,33,-7.666,23.53
5,-105,-8.872,17.12
6,147,-7.733,9.69